Computed, not measured: a relaxed structure of NiI2O2 at the PBE+U level of DFT.

Results
- SG: P4/mmm (123)
- Total magnetic moment: 1.009 μB per formula unit
- Offset from the most stable computed form: 0 meV per atom

Cell: 4.018 4.018 8.193 Å, 90.00 90.00 90.00°
Last column: magnetic moment on the atom in μB.
Sites, in units of the cell vectors:
O: 0.500 0.000 0.000  0.00
O: 0.000 0.500 0.000  0.00
Ni: 0.500 0.500 0.500  0.96
I: 0.000 0.000 0.000  0.00
I: 0.000 0.000 0.500  0.02